Entry from the Open Quantum Materials Database: a relaxed structure of Rb4PtO4 (PBE).

```
Rb4PtO4
1.0
6.357 0.000 0.000
-1.042 6.620 0.000
-2.679 -0.717 8.853
Rb Pt O
8 2 8
Direct
0.044 0.253 0.420 Rb
0.189 0.770 0.965 Rb
0.228 0.263 0.859 Rb
0.380 0.740 0.382 Rb
0.620 0.260 0.618 Rb
0.772 0.737 0.141 Rb
0.811 0.230 0.035 Rb
0.956 0.747 0.580 Rb
0.432 0.238 0.241 Pt
0.568 0.762 0.759 Pt
0.168 0.024 0.198 O
0.238 0.436 0.165 O
0.309 0.545 0.675 O
0.370 0.965 0.712 O
0.630 0.035 0.288 O
0.691 0.455 0.325 O
0.762 0.564 0.835 O
0.832 0.976 0.802 O
```

VASP energy = -4.3405 eV/atom
energy above the most stable polymorph in this dataset = 29.8 meV/atom